No. 1
This record from Alexandria describes an optimized crystal structure of MoPd8Rh2. The functional is PBE-GGA.

Its spin magnetization is 0.000 μB/f.u. The formation energy is 0.19 eV/atom. The calculation puts the total energy at -5.91 eV per atom. The symmetry is C2/m (12). The calculation puts the density of states at the Fermi level at 14.5 states/eV per cell.

Cell lengths 7.3102, 7.3102, 5.0294 Å; angles 96.46, 96.46, 41.70 degrees
With the nearest neighbours (Å) after each atom.
Atoms (fractional coordinates):
Mo 0.0000 0.0000 0.0000  2 Rh 2.46, 4 Pd 2.57
Pd 0.1671 0.6656 0.5948  1 Mo 2.57, 7 Pd 2.58-2.87, 1 Rh 2.77
Pd 0.2529 0.2529 0.3642  2 Rh 2.65-2.90, 7 Pd 2.69-2.94
Pd 0.3344 0.8329 0.4052  1 Mo 2.57, 7 Pd 2.58-2.87, 1 Rh 2.77
Pd 0.4085 0.4085 0.0846  6 Pd 2.69-2.87, 2 Rh 2.82, 2 Mo 2.94
Pd 0.5915 0.5915 0.9154  6 Pd 2.69-2.87, 2 Rh 2.82, 2 Mo 2.94
Pd 0.6656 0.1671 0.5948  1 Mo 2.57, 7 Pd 2.58-2.87, 1 Rh 2.77
Pd 0.7471 0.7471 0.6358  2 Rh 2.65-2.90, 7 Pd 2.69-2.94
Pd 0.8329 0.3344 0.4052  1 Mo 2.57, 7 Pd 2.58-2.87, 1 Rh 2.77
Rh 0.1670 0.1670 0.8639  1 Mo 2.46, 1 Pd 2.65
Rh 0.8330 0.8330 0.1361  1 Mo 2.46, 1 Pd 2.65

No. 2
This record from Alexandria describes an optimized crystal structure of AlIn2Cl. The functional is PBE-GGA.

Its spin magnetization is 0.000 μB/f.u. The calculation puts the total energy at -2.89 eV per atom. The symmetry is P4mm (99). The calculation puts the density of states at the Fermi level at 2.1 states/eV per cell. As for the uncorrected formation energy: -0.13 eV/atom.

Cell lengths 3.1969, 3.1969, 9.6582 Å; angles 90.00, 90.00, 90.00 degrees
With the nearest neighbours (Å) after each atom.
Atoms (fractional coordinates):
Al 0.0000 0.0000 0.0000  4 Cl 2.77
In 0.0000 0.0000 0.4980  8 In 3.20-3.45
In 0.5000 0.5000 0.7682  4 Al 3.18, 8 In 3.20-3.45
Cl 0.5000 0.5000 0.1660  4 Al 2.77

No. 3
This record from Alexandria describes an optimized crystal structure of La4CrSe. The functional is PBE-GGA.

Its spin magnetization is 5.219 μB/f.u. The calculation puts the total energy at -5.08 eV per atom. The symmetry is F-43m (216). The calculation puts the density of states at the Fermi level at 8.7 states/eV per cell. As for the uncorrected formation energy: 0.39 eV/atom.

Cell lengths 6.4060, 6.4060, 6.4060 Å; angles 60.00, 60.00, 60.00 degrees
With the nearest neighbours (Å) after each atom.
Atoms (fractional coordinates):
La 0.1253 0.1253 0.1253  6 La 3.20-3.21
La 0.1253 0.1253 0.6242  6 La 3.20-3.21
La 0.1253 0.6242 0.1253  6 La 3.20-3.21
La 0.6242 0.1253 0.1253  6 La 3.20-3.21
Cr 0.5000 0.5000 0.5000  12 La 3.76, 4 Se 3.92
Se 0.7500 0.7500 0.7500  12 La 3.76, 4 Cr 3.92

No. 4
This record from Alexandria describes an optimized crystal structure of CeHoNi. The functional is PBE-GGA.

Its spin magnetization is 0.689 μB/f.u. The formation energy is -0.09 eV/atom. The calculation puts the total energy at -5.52 eV per atom. The symmetry is P3m1 (156). The calculation puts the density of states at the Fermi level at 5.4 states/eV per cell.

Cell lengths 3.7283, 3.7283, 6.3303 Å; angles 90.00, 90.00, 120.00 degrees
With the nearest neighbours (Å) after each atom.
Atoms (fractional coordinates):
Ce 0.0000 0.0000 0.0000  3 Ni 2.69
Ho 0.6667 0.3333 0.4740  3 Ni 2.75
Ni 0.3333 0.6667 0.7439  3 Ce 2.69, 3 Ho 2.75

No. 5
This record from Alexandria describes an optimized crystal structure of Ba4Sr2Sb3F2. The functional is PBE-GGA.

Its spin magnetization is 0.000 μB/f.u. The calculation puts the total energy at -4.17 eV per atom. The symmetry is I4/mmm (139). The calculation puts the density of states at the Fermi level at 3.2 states/eV per cell. As for the uncorrected formation energy: -1.70 eV/atom.

Cell lengths 14.1104, 14.1104, 14.1104 Å; angles 158.10, 158.10, 31.17 degrees
With the nearest neighbours (Å) after each atom.
Atoms (fractional coordinates):
Ba 0.0831 0.5831 0.5000  2 F 2.76
Ba 0.4169 0.9169 0.5000  2 F 2.76
Ba 0.5831 0.0831 0.5000  2 F 2.76
Ba 0.9169 0.4169 0.5000  2 F 2.76
Sr 0.2027 0.2027 0.0000  1 F 2.57
Sr 0.7973 0.7973 0.0000  1 F 2.57
Sb 0.3238 0.3238 0.0000  1 Sr 3.29, 4 Ba 3.69
Sb 0.5000 0.5000 0.0000  8 Ba 3.51
Sb 0.6762 0.6762 0.0000  1 Sr 3.29, 4 Ba 3.69
F 0.1080 0.1080 0.0000  1 Sr 2.57, 4 Ba 2.76
F 0.8920 0.8920 0.0000  1 Sr 2.57, 4 Ba 2.76

No. 6
This record from Alexandria describes an optimized crystal structure of Mn2BeP. The functional is PBE-GGA.

Its spin magnetization is 0.271 μB/f.u. The formation energy is 0.20 eV/atom. The calculation puts the total energy at -6.67 eV per atom. The symmetry is I-42d (122). The calculation puts the density of states at the Fermi level at 13.9 states/eV per cell.

Cell lengths 3.3664, 3.3664, 15.8450 Å; angles 90.00, 90.00, 90.00 degrees
With the nearest neighbours (Å) after each atom.
Atoms (fractional coordinates):
Mn 0.2045 0.2500 0.1250  2 Mn 2.17, 2 Be 2.26, 2 P 2.37
Mn 0.2500 0.7045 0.3750  2 Mn 2.17, 2 Be 2.26, 2 P 2.37
Mn 0.2500 0.7955 0.8750  2 Mn 2.17, 2 Be 2.26, 2 P 2.37
Mn 0.2955 0.2500 0.6250  2 Mn 2.17, 2 Be 2.26, 2 P 2.37
Mn 0.7045 0.7500 0.6250  2 Mn 2.17, 2 Be 2.26, 2 P 2.37
Mn 0.7500 0.2045 0.8750  2 Mn 2.17, 2 Be 2.26, 2 P 2.37
Mn 0.7500 0.2955 0.3750  2 Mn 2.17, 2 Be 2.26, 2 P 2.37
Mn 0.7955 0.7500 0.1250  2 Mn 2.17, 2 Be 2.26, 2 P 2.37
Be 0.0000 0.0000 0.0000  4 Mn 2.26, 4 P 2.38
Be 0.0000 0.5000 0.2500  4 Mn 2.26, 4 P 2.38
Be 0.5000 0.0000 0.7500  4 Mn 2.26, 4 P 2.38
Be 0.5000 0.5000 0.5000  4 Mn 2.26, 4 P 2.38
P 0.0000 0.0000 0.5000  4 Mn 2.37, 4 Be 2.38
P 0.0000 0.5000 0.7500  4 Mn 2.37, 4 Be 2.38
P 0.5000 0.0000 0.2500  4 Mn 2.37, 4 Be 2.38
P 0.5000 0.5000 0.0000  4 Mn 2.37, 4 Be 2.38

No. 7
This record from Alexandria describes an optimized crystal structure of Fe2SnAsI. The functional is PBE-GGA.

Its spin magnetization is 4.450 μB/f.u. The calculation puts the total energy at -4.10 eV per atom. The symmetry is P4/mmm (123). The calculation puts the density of states at the Fermi level at 4.9 states/eV per cell. As for the uncorrected formation energy: 1.33 eV/atom.

Cell lengths 4.6048, 4.6048, 5.5207 Å; angles 90.00, 90.00, 90.00 degrees
With the nearest neighbours (Å) after each atom.
Atoms (fractional coordinates):
Fe 0.0000 0.5000 0.0000  2 I 2.30
Fe 0.5000 0.0000 0.0000  2 I 2.30
Sn 0.0000 0.0000 0.5000  4 As 3.26, 8 Fe 3.59
As 0.5000 0.5000 0.5000  2 I 2.76
I 0.5000 0.5000 0.0000  4 Fe 2.30

No. 8
This record from Alexandria describes an optimized crystal structure of ScTeRu2W. The functional is PBE-GGA.

Its spin magnetization is 0.000 μB/f.u. The calculation puts the total energy at -6.36 eV per atom. The symmetry is P4/mmm (123). The calculation puts the density of states at the Fermi level at 12.2 states/eV per cell. As for the uncorrected formation energy: 1.84 eV/atom.

Cell lengths 4.5359, 4.5359, 5.0680 Å; angles 90.00, 90.00, 90.00 degrees
With the nearest neighbours (Å) after each atom.
Atoms (fractional coordinates):
Sc 0.0000 0.0000 0.0000  4 Ru 2.27, 2 Te 2.53
Te 0.0000 0.0000 0.5000  2 Sc 2.53
Ru 0.0000 0.5000 0.0000  2 Sc 2.27
Ru 0.5000 0.0000 0.0000  2 Sc 2.27
W 0.5000 0.5000 0.5000  4 Te 3.21, 8 Ru 3.40